## Sr2LiIn (PBE-GGA)

Data for crystalline Sr2LiIn at its relaxed geometry.

Computed properties:
As for the electronic total energy: -8.9 eV for the cell shown.

abc: 5.2438 4.4349 6.6576
angles: 70.67 90.00 90.00
Atoms (fractional coordinates):
In  0.0000  0.6877  0.4983
Sr  0.5000  0.2670  0.3398
Sr  0.0000  0.9760  0.9244
Li  0.5000  0.5692  0.7375


## Sr2LiIn (PBE-GGA)

Data for crystalline Sr2LiIn at its relaxed geometry.

Computed properties:
As for the electronic total energy: -8.2 eV for the cell shown.

abc: 5.7783 5.7783 7.3076
angles: 80.96 80.96 39.56
Atoms (fractional coordinates):
Sr  0.4924  0.4924  0.5150
Li  0.2500  0.2500  0.2500
Sr  0.0076  0.0076  0.9850
In  0.7500  0.7500  0.7500


## SrLiIn (PBE-GGA)

Data for crystalline SrLiIn at its relaxed geometry.

Computed properties:
As for the electronic total energy: -28.0 eV for the cell shown.

abc: 6.6190 6.4587 9.5471
angles: 90.00 90.00 120.82
Atoms (fractional coordinates):
In  0.6446  0.7893  0.7500
In  0.3554  0.2107  0.2500
Sr  0.6579  0.3158  0.9237
Sr  0.1579  0.3158  0.5763
In  0.8554  0.2107  0.2500
In  0.1446  0.7893  0.7500
Li  0.4268  0.8536  0.4007
Sr  0.8421  0.6842  0.4237
Li  0.5732  0.1464  0.5993
Li  0.0732  0.1464  0.9007
Sr  0.3421  0.6842  0.0763
Li  0.9268  0.8536  0.0993


## SrLi2Tb2In2 (PBE-GGA)

Data for crystalline SrLi2Tb2In2 at its relaxed geometry.

Computed properties:
As for the electronic total energy: -21.8 eV for the cell shown.

abc: 4.9830 4.9830 9.8569
angles: 75.36 75.36 60.00
Atoms (fractional coordinates):
Sr  0.0000  0.0000  0.0000
Li  0.5874  0.5874  0.2378
Li  0.4126  0.4126  0.7622
In  0.2500  0.2500  0.2500
Tb  0.1315  0.1315  0.6055
In  0.7500  0.7500  0.7500
Tb  0.8685  0.8685  0.3945


## SrLiIn2Tc (PBE-GGA)

Data for crystalline SrLiIn2Tc at its relaxed geometry.

Computed properties:
As for the electronic total energy: -12.7 eV for the cell shown.

abc: 6.0494 5.4640 6.0494
angles: 90.00 90.00 90.00
Site moments in Bohr magnetons follow the coordinates.
Atoms (fractional coordinates):
Sr  0.0000  0.0000  0.0000  -0.07
In  0.5000  0.0000  0.0000  -0.07
In  0.0000  0.0000  0.5000  -0.04
Li  0.5000  0.5000  0.5000  0.00
Tc  0.0000  0.5000  0.0000  2.67


## SrLiIn2Te4 (PBE-GGA)

Data for crystalline SrLiIn2Te4 at its relaxed geometry.

Computed properties:
The calculation puts the formation energy without anion corrections at -0.64 eV per atom.

abc: 8.1899 6.8843 6.8843
angles: 68.65 53.50 53.50
Atoms (fractional coordinates):
Te  0.5493  0.4020  0.8898
Te  0.4507  0.1102  0.5980
Te  0.1589  0.8898  0.4020
In  0.1878  0.3122  0.3122
In  0.8122  0.6878  0.6878
Sr  0.0000  0.0000  0.0000
Li  0.5000  0.5000  0.5000
Te  0.8411  0.5980  0.1102


## Sr2LiTl6In (PBE-GGA)

Data for crystalline Sr2LiTl6In at its relaxed geometry.

Computed properties:
As for the electronic total energy: -23.1 eV for the cell shown.

abc: 7.7819 7.7818 7.5032
angles: 61.10 61.10 90.22
Atoms (fractional coordinates):
Tl  0.2956  0.2956  0.9326
Tl  0.7044  0.7044  0.0674
Tl  0.7106  0.7106  0.5251
Li  0.5000  0.5000  0.0000
Sr  0.7852  0.2148  0.5000
In  0.0000  0.0000  0.0000
Tl  0.7355  0.2644  0.0000
Tl  0.2645  0.7356  0.0000
Tl  0.2894  0.2894  0.4749
Sr  0.2148  0.7852  0.5000


## Sr2Li2Tl5In (PBE-GGA)

Data for crystalline Sr2Li2Tl5In at its relaxed geometry.

Computed properties:
As for the electronic total energy: -48.4 eV for the cell shown.

abc: 4.1334 11.5799 11.5799
angles: 90.00 90.00 90.00
Atoms (fractional coordinates):
Li  0.0000  0.6183  0.8817
Li  0.0000  0.1183  0.6183
Tl  0.5000  0.4378  0.2965
Tl  0.5000  0.7965  0.9378
In  0.0000  0.0000  0.0000
Tl  0.5000  0.0000  0.5000
Tl  0.5000  0.7035  0.4378
Sr  0.0000  0.6790  0.1790
In  0.0000  0.5000  0.5000
Sr  0.0000  0.8210  0.6790
Tl  0.5000  0.5622  0.7035
Sr  0.0000  0.3210  0.8210
Tl  0.5000  0.0622  0.7965
Tl  0.5000  0.5000  0.0000
Li  0.0000  0.8817  0.3817
Sr  0.0000  0.1790  0.3210
Tl  0.5000  0.9378  0.2035
Li  0.0000  0.3817  0.1183
Tl  0.5000  0.2965  0.5622
Tl  0.5000  0.2035  0.0622


## SrLiTlIn2 (PBE-GGA)

Data for crystalline SrLiTlIn2 at its relaxed geometry.

Computed properties:
As for the electronic total energy: -12.3 eV for the cell shown.

abc: 5.1626 5.1626 5.2418
angles: 90.00 90.00 90.00
Atoms (fractional coordinates):
Sr  0.5000  0.5000  0.5000
Tl  0.0000  0.0000  0.5000
In  0.0000  0.5000  0.0000
In  0.5000  0.0000  0.0000
Li  0.0000  0.0000  0.0000


## SrLiTl2In (PBE-GGA)

Data for crystalline SrLiTl2In at its relaxed geometry.

Computed properties:
For the excess energy over the best structure of this formula in the dataset, the calculation gives 52.3 kJ/mol of atoms.

abc: 6.2330 6.2330 6.4666
angles: 90.00 90.00 90.00
Atoms (fractional coordinates):
Sr  0.0000  0.0000  0.5000
Tl  0.0000  0.5000  0.0000
Tl  0.5000  0.0000  0.0000
In  0.0000  0.0000  0.0000
Li  0.5000  0.5000  0.5000


## SrLiTlIn (PBE-GGA)

Data for crystalline SrLiTlIn at its relaxed geometry.

Computed properties:
For the excess energy over the best structure of this formula in the dataset, the calculation gives 0.0 kJ/mol of atoms.

abc: 4.8347 4.8336 6.4420
angles: 112.05 90.00 120.01
Atoms (fractional coordinates):
Sr  0.6161  0.2322  0.4903
Tl  0.8276  0.6552  0.1247
Li  0.1160  0.2319  0.9901
In  0.4066  0.8133  0.8622


## SrLiTlIn (PBE-GGA)

Data for crystalline SrLiTlIn at its relaxed geometry.

Computed properties:
For the excess energy over the best structure of this formula in the dataset, the calculation gives 5.5 kJ/mol of atoms.

abc: 5.4045 5.4045 5.4045
angles: 60.00 60.00 60.00
Atoms (fractional coordinates):
Li  0.0000  0.0000  0.0000
Sr  0.5000  0.5000  0.5000
In  0.7500  0.7500  0.7500
Tl  0.2500  0.2500  0.2500